# Tb2Co, relaxed, DFT PBE
data_Tb2Co
_cell_length_a 5.938
_cell_length_b 5.938
_cell_length_c 5.938
_cell_angle_alpha 60.00
_cell_angle_beta 60.00
_cell_angle_gamma 60.00
_symmetry_space_group_name_H-M 'P 1'
_symmetry_Int_Tables_number 1
loop_
_symmetry_equiv_pos_as_xyz
'x,y,z'
loop_
_atom_site_label
_atom_site_type_symbol
_atom_site_fract_x
_atom_site_fract_y
_atom_site_fract_z
Co1 Co 0.000 0.000 0.000
Co2 Co 0.250 0.250 0.250
Tb1 Tb 0.625 0.625 0.125
Tb2 Tb 0.625 0.125 0.625
Tb3 Tb 0.125 0.625 0.625
Tb4 Tb 0.625 0.625 0.625
# Formation enthalpy at 0 K   1.08 eV per atom
# Space-group type   Fd-3m, No. 227